First-principles (GGA-PBE) data for Cr2TeAs after structural relaxation, as listed in the Alexandria database.

The space group is P2/m (No. 10) and the conventional cell measures 3.364, 3.393 and 6.746 Å, with angles of 90.00, 97.86 and 90.00 degrees. The asymmetric unit holds Cr at (0.034, 0.000, 0.279), Te at (0.500, 0.500, 0.000) and As at (0.500, 0.500, 0.500).

For the energy relative to the lowest polymorph listed for this composition, the calculation gives 300 meV/atom. The formation energy (no corrections) comes out at 0.282 eV per atom.